# 1
{
  "formula": "Al2FeSi2",
  "functional": "PBE",
  "state": "relaxed",
  "e_form_raw_ev_per_atom": -0.03,
  "mass_density_g_cm3": 3.911,
  "crystal_system": "tetragonal",
  "lattice_angstrom": [[5.944, 0.000, 0.000], [0.000, 5.944, 0.000], [0.000, 0.000, 3.989]],
  "species": ["Al", "Al", "Al", "Al", "Fe", "Fe", "Si", "Si", "Si", "Si"],
  "fractional_positions": [[0.173, 0.327, 0.000], [0.327, 0.827, 0.000], [0.673, 0.173, 0.000], [0.827, 0.673, 0.000], [0.000, 0.000, 0.500], [0.500, 0.500, 0.500], [0.141, 0.641, 0.500], [0.359, 0.141, 0.500], [0.641, 0.859, 0.500], [0.859, 0.359, 0.500]]
}


# 2
{
  "formula": "NdTlHgSe3",
  "functional": "PBE",
  "state": "relaxed",
  "e_form_raw_ev_per_atom": -0.93,
  "mass_density_g_cm3": 6.807,
  "crystal_system": "monoclinic",
  "lattice_angstrom": [[8.996, 0.000, 0.000], [0.000, 4.359, 0.000], [-2.661, 0.000, 9.780]],
  "species": ["Nd", "Nd", "Tl", "Tl", "Hg", "Hg", "Se", "Se", "Se", "Se", "Se", "Se"],
  "fractional_positions": [[0.176, 0.250, 0.142], [0.824, 0.750, 0.858], [0.288, 0.750, 0.781], [0.712, 0.250, 0.219], [0.407, 0.750, 0.387], [0.593, 0.250, 0.613], [0.044, 0.250, 0.845], [0.271, 0.250, 0.465], [0.400, 0.750, 0.122], [0.600, 0.250, 0.878], [0.729, 0.750, 0.535], [0.956, 0.750, 0.155]]
}


# 3
{
  "formula": "SmDyEr3",
  "functional": "PBE",
  "state": "relaxed",
  "mass_density_g_cm3": 8.488,
  "e_form_mev_per_atom": 54,
  "e_above_lowest_polymorph_kj_per_mol_atoms": 4.6,
  "crystal_system": "triclinic",
  "lattice_angstrom": [[3.548, 0.000, 0.000], [-0.005, 8.814, 0.000], [-1.758, -3.452, 10.192]],
  "species": ["Sm", "Sm", "Dy", "Dy", "Er", "Er", "Er", "Er", "Er", "Er"],
  "fractional_positions": [[0.177, 0.406, 0.354], [0.823, 0.594, 0.646], [0.409, 0.376, 0.821], [0.591, 0.624, 0.179], [0.114, 0.979, 0.227], [0.240, 0.820, 0.478], [0.464, 0.801, 0.931], [0.536, 0.199, 0.069], [0.760, 0.180, 0.522], [0.886, 0.021, 0.773]]
}


# 4
{
  "formula": "CaScTl",
  "functional": "PBE",
  "state": "relaxed",
  "mass_density_g_cm3": 5.769,
  "e_form_mev_per_atom": -230,
  "e_above_lowest_polymorph_kj_per_mol_atoms": 5.5,
  "crystal_system": "orthorhombic",
  "lattice_angstrom": [[1.934, -8.170, 0.000], [1.934, 8.170, 0.000], [0.000, 0.000, 5.272]],
  "species": ["Ca", "Ca", "Sc", "Sc", "Tl", "Tl"],
  "fractional_positions": [[0.078, 0.922, 0.750], [0.922, 0.078, 0.250], [0.236, 0.764, 0.250], [0.764, 0.236, 0.750], [0.401, 0.599, 0.750], [0.599, 0.401, 0.250]]
}


# 5
{
  "formula": "LiAs2AuBr",
  "functional": "PBE",
  "state": "relaxed",
  "e_form_raw_ev_per_atom": 0.30,
  "mass_density_g_cm3": 4.156,
  "e_above_lowest_polymorph_kj_per_mol_atoms": 0.0,
  "crystal_system": "tetragonal",
  "lattice_angstrom": [[4.852, 0.000, 0.000], [0.000, 4.852, 0.000], [0.000, 0.000, 7.360]],
  "species": ["Li", "As", "As", "Au", "Br"],
  "fractional_positions": [[0.000, 0.000, 0.000], [0.000, 0.500, 0.500], [0.500, 0.000, 0.500], [0.500, 0.500, 0.500], [0.500, 0.500, 0.000]]
}


# 6
{
  "formula": "FeNi6As",
  "functional": "PBE",
  "state": "relaxed",
  "mass_density_g_cm3": 8.817,
  "e_form_mev_per_atom": -119,
  "crystal_system": "tetragonal",
  "lattice_angstrom": [[3.566, 0.000, 0.000], [0.000, 3.566, 0.000], [0.000, 0.000, 7.152]],
  "species": ["Fe", "Ni", "Ni", "Ni", "Ni", "Ni", "Ni", "As"],
  "fractional_positions": [[0.000, 0.000, 0.000], [0.000, 0.500, 0.245], [0.000, 0.500, 0.755], [0.500, 0.000, 0.245], [0.500, 0.000, 0.755], [0.500, 0.500, 0.000], [0.500, 0.500, 0.500], [0.000, 0.000, 0.500]]
}


# 7
{
  "formula": "Cr2FePt",
  "functional": "PBE",
  "state": "relaxed",
  "mass_density_g_cm3": 11.751,
  "e_form_mev_per_atom": 63,
  "crystal_system": "monoclinic",
  "lattice_angstrom": [[4.288, -1.333, 0.000], [4.288, 1.333, 0.000], [-0.833, 0.000, 4.389]],
  "species": ["Cr", "Cr", "Fe", "Pt"],
  "fractional_positions": [[0.246, 0.246, 0.206], [0.754, 0.754, 0.794], [0.500, 0.500, 0.000], [0.000, 0.000, 0.500]]
}


# 8
{
  "formula": "Tb12P3H5",
  "functional": "PBE",
  "state": "relaxed",
  "mass_density_g_cm3": 7.863,
  "final_energy_ev_per_atom": -4.97,
  "crystal_system": "cubic",
  "lattice_angstrom": [[-7.509, 7.509, 7.509], [7.509, -7.509, 7.509], [7.509, 7.509, -7.509]],
  "species": ["Tb", "Tb", "Tb", "Tb", "Tb", "Tb", "Tb", "Tb", "Tb", "Tb", "Tb", "Tb", "Tb", "Tb", "Tb", "Tb", "Tb", "Tb", "Tb", "Tb", "Tb", "Tb", "Tb", "Tb", "Tb", "Tb", "Tb", "Tb", "Tb", "Tb", "Tb", "Tb", "Tb", "Tb", "Tb", "Tb", "Tb", "Tb", "Tb", "Tb", "Tb", "Tb", "Tb", "Tb", "Tb", "Tb", "Tb", "Tb", "P", "P", "P", "P", "P", "P", "P", "P", "P", "P", "P", "P", "H", "H", "H", "H", "H", "H", "H", "H", "H", "H", "H", "H", "H", "H", "H", "H", "H", "H", "H", "H"],
  "fractional_positions": [[0.026, 0.217, 0.119], [0.026, 0.309, 0.907], [0.093, 0.619, 0.403], [0.093, 0.974, 0.691], [0.097, 0.717, 0.691], [0.097, 0.881, 0.407], [0.119, 0.026, 0.217], [0.119, 0.593, 0.903], [0.191, 0.217, 0.597], [0.191, 0.474, 0.593], [0.217, 0.119, 0.026], [0.217, 0.597, 0.191], [0.283, 0.309, 0.903], [0.283, 0.474, 0.381], [0.309, 0.903, 0.283], [0.309, 0.907, 0.026], [0.381, 0.283, 0.474], [0.381, 0.597, 0.907], [0.403, 0.093, 0.619], [0.403, 0.809, 0.783], [0.407, 0.097, 0.881], [0.407, 0.809, 0.526], [0.474, 0.381, 0.283], [0.474, 0.593, 0.191], [0.526, 0.407, 0.809], [0.526, 0.619, 0.717], [0.593, 0.191, 0.474], [0.593, 0.903, 0.119], [0.597, 0.191, 0.217], [0.597, 0.907, 0.381], [0.619, 0.403, 0.093], [0.619, 0.717, 0.526], [0.691, 0.093, 0.974], [0.691, 0.097, 0.717], [0.717, 0.526, 0.619], [0.717, 0.691, 0.097], [0.783, 0.403, 0.809], [0.783, 0.881, 0.974], [0.809, 0.526, 0.407], [0.809, 0.783, 0.403], [0.881, 0.407, 0.097], [0.881, 0.974, 0.783], [0.903, 0.119, 0.593], [0.903, 0.283, 0.309], [0.907, 0.026, 0.309], [0.907, 0.381, 0.597], [0.974, 0.691, 0.093], [0.974, 0.783, 0.881], [0.125, 0.250, 0.375], [0.125, 0.375, 0.750], [0.250, 0.375, 0.125], [0.250, 0.875, 0.625], [0.375, 0.125, 0.250], [0.375, 0.750, 0.125], [0.625, 0.250, 0.875], [0.625, 0.875, 0.750], [0.750, 0.125, 0.375], [0.750, 0.625, 0.875], [0.875, 0.625, 0.250], [0.875, 0.750, 0.625], [0.000, 0.000, 0.000], [0.000, 0.000, 0.500], [0.000, 0.500, 0.000], [0.000, 0.500, 0.500], [0.125, 0.750, 0.875], [0.125, 0.875, 0.250], [0.250, 0.125, 0.875], [0.250, 0.625, 0.375], [0.375, 0.250, 0.625], [0.375, 0.625, 0.750], [0.500, 0.000, 0.000], [0.500, 0.000, 0.500], [0.500, 0.500, 0.000], [0.500, 0.500, 0.500], [0.625, 0.375, 0.250], [0.625, 0.750, 0.375], [0.750, 0.375, 0.625], [0.750, 0.875, 0.125], [0.875, 0.125, 0.750], [0.875, 0.250, 0.125]]
}


# 9
{
  "formula": "Tb3Pm8Nd2",
  "functional": "PBE",
  "state": "relaxed",
  "mass_density_g_cm3": 7.239,
  "e_form_mev_per_atom": 15,
  "e_above_lowest_polymorph_kj_per_mol_atoms": 0.0,
  "crystal_system": "triclinic",
  "lattice_angstrom": [[6.291, 0.000, 0.000], [1.047, 6.210, 0.000], [2.095, -0.351, 11.304]],
  "species": ["Tb", "Tb", "Tb", "Pm", "Pm", "Pm", "Pm", "Pm", "Pm", "Pm", "Pm", "Nd", "Nd"],
  "fractional_positions": [[0.000, 0.000, 0.000], [0.230, 0.461, 0.076], [0.770, 0.539, 0.924], [0.077, 0.156, 0.695], [0.153, 0.308, 0.382], [0.308, 0.618, 0.772], [0.461, 0.921, 0.152], [0.539, 0.079, 0.848], [0.692, 0.382, 0.228], [0.847, 0.692, 0.618], [0.923, 0.844, 0.305], [0.384, 0.769, 0.461], [0.616, 0.231, 0.539]]
}


# 10
{
  "formula": "Er6Tl3Hg",
  "functional": "PBE",
  "state": "relaxed",
  "mass_density_g_cm3": 10.445,
  "e_form_mev_per_atom": -192,
  "e_above_lowest_polymorph_kj_per_mol_atoms": 7.3,
  "crystal_system": "monoclinic",
  "lattice_angstrom": [[11.725, 0.000, 0.000], [0.000, 3.698, 0.000], [-5.491, 0.000, 13.328]],
  "species": ["Er", "Er", "Er", "Er", "Er", "Er", "Er", "Er", "Er", "Er", "Er", "Er", "Tl", "Tl", "Tl", "Tl", "Tl", "Tl", "Hg", "Hg"],
  "fractional_positions": [[0.020, 0.250, 0.158], [0.092, 0.750, 0.388], [0.221, 0.250, 0.825], [0.347, 0.250, 0.253], [0.358, 0.250, 0.611], [0.401, 0.750, 0.046], [0.599, 0.250, 0.954], [0.642, 0.750, 0.389], [0.653, 0.750, 0.747], [0.779, 0.750, 0.175], [0.908, 0.250, 0.612], [0.980, 0.750, 0.842], [0.134, 0.750, 0.622], [0.168, 0.250, 0.021], [0.377, 0.750, 0.437], [0.623, 0.250, 0.563], [0.832, 0.750, 0.979], [0.866, 0.250, 0.378], [0.419, 0.750, 0.800], [0.581, 0.250, 0.200]]
}


# 11
{
  "formula": "Cs3HgF",
  "functional": "PBE",
  "state": "relaxed",
  "e_form_raw_ev_per_atom": -1.10,
  "mass_density_g_cm3": 4.471,
  "e_above_lowest_polymorph_kj_per_mol_atoms": 0.0,
  "crystal_system": "cubic",
  "lattice_angstrom": [[6.124, 0.000, 0.000], [0.000, 6.124, 0.000], [0.000, 0.000, 6.124]],
  "species": ["Cs", "Cs", "Cs", "Hg", "F"],
  "fractional_positions": [[0.000, 0.000, 0.500], [0.000, 0.500, 0.000], [0.500, 0.000, 0.000], [0.500, 0.500, 0.500], [0.000, 0.000, 0.000]]
}


# 12
{
  "formula": "Sr6Se3S2I",
  "functional": "PBE",
  "state": "relaxed",
  "e_form_raw_ev_per_atom": -1.92,
  "mass_density_g_cm3": 4.278,
  "crystal_system": "monoclinic",
  "lattice_angstrom": [[9.629, -2.214, 0.000], [9.629, 2.214, 0.000], [-1.974, 0.000, 8.682]],
  "species": ["Sr", "Sr", "Sr", "Sr", "Sr", "Sr", "Se", "Se", "Se", "S", "S", "I"],
  "fractional_positions": [[0.005, 0.005, 0.275], [0.324, 0.324, 0.902], [0.331, 0.331, 0.421], [0.669, 0.669, 0.579], [0.676, 0.676, 0.098], [0.995, 0.995, 0.725], [0.162, 0.162, 0.834], [0.500, 0.500, 0.500], [0.838, 0.838, 0.166], [0.167, 0.167, 0.334], [0.833, 0.833, 0.666], [0.500, 0.500, 0.000]]
}


# 13
{
  "formula": "PrPuHg4",
  "functional": "PBE",
  "state": "relaxed",
  "mass_density_g_cm3": 12.685,
  "e_form_mev_per_atom": -135,
  "e_above_lowest_polymorph_kj_per_mol_atoms": 0.0,
  "crystal_system": "cubic",
  "lattice_angstrom": [[0.000, 4.267, 4.267], [4.267, 0.000, 4.267], [4.267, 4.267, 0.000]],
  "species": ["Pr", "Pu", "Hg", "Hg", "Hg", "Hg"],
  "fractional_positions": [[0.000, 0.000, 0.000], [0.250, 0.250, 0.250], [0.125, 0.625, 0.625], [0.625, 0.125, 0.625], [0.625, 0.625, 0.125], [0.625, 0.625, 0.625]]
}


# 14
{
  "formula": "ReCF2",
  "functional": "PBE",
  "state": "relaxed",
  "e_form_raw_ev_per_atom": -0.09,
  "mass_density_g_cm3": 6.843,
  "e_above_lowest_polymorph_kj_per_mol_atoms": 0.0,
  "crystal_system": "tetragonal",
  "lattice_angstrom": [[-3.840, 3.840, 1.943], [3.840, -3.840, 1.943], [3.840, 3.840, -1.943]],
  "species": ["Re", "Re", "C", "C", "F", "F", "F", "F"],
  "fractional_positions": [[0.000, 0.000, 0.000], [0.750, 0.250, 0.500], [0.250, 0.750, 0.500], [0.500, 0.500, 0.000], [0.375, 0.033, 0.158], [0.783, 0.625, 0.658], [0.875, 0.217, 0.842], [0.967, 0.125, 0.342]]
}


# 15
{
  "formula": "Y4C2Cl",
  "functional": "PBE",
  "state": "relaxed",
  "e_form_raw_ev_per_atom": -0.75,
  "mass_density_g_cm3": 4.617,
  "crystal_system": "trigonal",
  "lattice_angstrom": [[1.820, 1.051, 13.016], [-1.820, 1.051, 13.016], [0.000, -2.101, 13.016]],
  "species": ["Y", "Y", "Y", "Y", "C", "C", "Cl"],
  "fractional_positions": [[0.123, 0.123, 0.123], [0.278, 0.278, 0.278], [0.722, 0.722, 0.722], [0.877, 0.877, 0.877], [0.420, 0.420, 0.420], [0.580, 0.580, 0.580], [0.000, 0.000, 0.000]]
}


# 16
{
  "formula": "Pu5Ge2Ru",
  "functional": "PBE",
  "state": "relaxed",
  "mass_density_g_cm3": 13.296,
  "e_form_mev_per_atom": -276,
  "e_above_lowest_polymorph_kj_per_mol_atoms": 0.0,
  "crystal_system": "orthorhombic",
  "lattice_angstrom": [[7.136, 0.000, 0.000], [0.000, 11.337, 0.000], [0.000, 0.000, 4.527]],
  "species": ["Pu", "Pu", "Pu", "Pu", "Pu", "Pu", "Pu", "Pu", "Pu", "Pu", "Ge", "Ge", "Ge", "Ge", "Ru", "Ru"],
  "fractional_positions": [[0.000, 0.000, 0.000], [0.144, 0.278, 0.000], [0.203, 0.565, 0.500], [0.297, 0.065, 0.500], [0.356, 0.778, 0.000], [0.500, 0.500, 0.000], [0.644, 0.222, 0.000], [0.703, 0.935, 0.500], [0.797, 0.435, 0.500], [0.856, 0.722, 0.000], [0.089, 0.828, 0.500], [0.411, 0.328, 0.500], [0.589, 0.672, 0.500], [0.911, 0.172, 0.500], [0.000, 0.500, 0.000], [0.500, 0.000, 0.000]]
}


# 17
{
  "formula": "ZnIn4Ir",
  "functional": "PBE",
  "state": "relaxed",
  "mass_density_g_cm3": 9.252,
  "e_form_mev_per_atom": -100,
  "e_above_lowest_polymorph_kj_per_mol_atoms": 0.0,
  "crystal_system": "tetragonal",
  "lattice_angstrom": [[-3.483, 3.483, 5.303], [3.483, -3.483, 5.303], [3.483, 3.483, -5.303]],
  "species": ["Zn", "Zn", "In", "In", "In", "In", "In", "In", "In", "In", "Ir", "Ir"],
  "fractional_positions": [[0.000, 0.000, 0.000], [0.500, 0.500, 0.000], [0.019, 0.519, 0.815], [0.204, 0.019, 0.500], [0.296, 0.796, 0.815], [0.481, 0.296, 0.500], [0.519, 0.704, 0.500], [0.704, 0.204, 0.185], [0.796, 0.981, 0.500], [0.981, 0.481, 0.185], [0.250, 0.250, 0.000], [0.750, 0.750, 0.000]]
}


# 18
{
  "formula": "CaFe2Rh2",
  "functional": "PBE",
  "state": "relaxed",
  "mass_density_g_cm3": 7.527,
  "e_form_mev_per_atom": -14,
  "crystal_system": "tetragonal",
  "lattice_angstrom": [[7.504, 0.000, 0.000], [0.000, 7.504, 0.000], [0.000, 0.000, 2.802]],
  "species": ["Ca", "Ca", "Fe", "Fe", "Fe", "Fe", "Rh", "Rh", "Rh", "Rh"],
  "fractional_positions": [[0.000, 0.000, 0.000], [0.500, 0.500, 0.000], [0.116, 0.384, 0.000], [0.384, 0.884, 0.000], [0.616, 0.116, 0.000], [0.884, 0.616, 0.000], [0.176, 0.676, 0.500], [0.324, 0.176, 0.500], [0.676, 0.824, 0.500], [0.824, 0.324, 0.500]]
}


# 19
{
  "formula": "PrTm2Se",
  "functional": "PBE",
  "state": "relaxed",
  "e_form_raw_ev_per_atom": -0.78,
  "mass_density_g_cm3": 7.927,
  "e_above_lowest_polymorph_kj_per_mol_atoms": 0.0,
  "crystal_system": "trigonal",
  "lattice_angstrom": [[1.876, 1.083, 9.580], [-1.876, 1.083, 9.580], [0.000, -2.167, 9.580]],
  "species": ["Pr", "Tm", "Tm", "Se"],
  "fractional_positions": [[0.000, 0.000, 0.000], [0.565, 0.565, 0.565], [0.770, 0.770, 0.770], [0.167, 0.167, 0.167]]
}